{"formula": "Rb2Al2Au", "functional": "GGA-PBEsol", "state": "relaxed", "m_tot_mub_per_cell": 0.0, "n_ef_per_ev_atom": 0.29, "polymorph_energy_ev_per_atom": 0.000, "sg": "I4/mmm (139)", "e_form_ev_per_atom": 0.165, "lattice_angstrom": [[-1.924, 1.924, 10.766], [1.924, -1.924, 10.766], [1.924, 1.924, -10.766]], "species": ["Rb", "Rb", "Al", "Al", "Au"], "fractional_positions": [[0.096, 0.096, 0.000], [0.904, 0.904, 0.000], [0.250, 0.750, 0.500], [0.750, 0.250, 0.500], [0.500, 0.500, 0.000]]}